Record 1
Below is DyTeO4 after structural relaxation, with properties calculated at the PBE level.

Polymorph energy (0 for the lowest one) = 0.000 eV per atom
V = 167.0 Å³/cell
Total magnetic moment = 0.000 μB/atom
Electronic total energy = -6.616 eV/atom
Space group = Pnc2, No. 30
E_form (uncorrected) = -2.020 eV per atom

Cell: 5.1947 5.4883 5.8569 Å, 90.00 90.00 90.00°
With the nearest neighbours (Å) after each atom.
Element x y z (fractional)
Dy  0.0000  0.5000  0.1995  6 O 2.20-2.36
Dy  0.5000  0.5000  0.6995  6 O 2.20-2.36
Te  0.0000  0.0000  0.8419  6 O 2.00-2.18
Te  0.5000  0.0000  0.3419  6 O 2.00-2.18
O  0.2407  0.8440  0.0880  2 Te 2.09-2.18
O  0.1952  0.3102  0.8914  1 Te 2.00, 1 Dy 2.20
O  0.3048  0.3102  0.3914  1 Te 2.00, 1 Dy 2.20
O  0.2593  0.8440  0.5880  2 Te 2.09-2.18
O  0.6952  0.6898  0.3914  1 Te 2.00, 1 Dy 2.20
O  0.7407  0.1560  0.5880  2 Te 2.09-2.18
O  0.7593  0.1560  0.0880  2 Te 2.09-2.18
O  0.8048  0.6898  0.8914  1 Te 2.00, 1 Dy 2.20

Record 2
Below is DyTl2Te2O6 after structural relaxation, with properties calculated at the PBE level.

V = 213.0 Å³/cell
Total magnetic moment = 0.000 μB/atom
Electronic total energy = -5.481 eV/atom
Space group = C2/m, No. 12
E_form (uncorrected) = -1.357 eV per atom

Cell: 7.0256 6.0741 6.5681 Å, 107.24 90.00 125.33°
With the nearest neighbours (Å) after each atom.
Element x y z (fractional)
Dy  0.5000  0.0000  0.5000  6 O 2.26-2.31
Tl  0.6847  0.3694  0.1123  2 O 2.56
Tl  0.3153  0.6306  0.8877  2 O 2.56
Te  0.9470  0.8939  0.7475  3 O 1.88-2.03
Te  0.0530  0.1061  0.2525  3 O 1.88-2.03
O  0.7469  0.4938  0.6949  1 Te 1.88
O  0.3218  0.0696  0.2654  1 Te 2.03, 1 Dy 2.26
O  0.2522  0.9304  0.7346  1 Te 2.03, 1 Dy 2.26
O  0.6782  0.9304  0.7346  1 Te 2.03, 1 Dy 2.26
O  0.7478  0.0696  0.2654  1 Te 2.03, 1 Dy 2.26
O  0.2531  0.5062  0.3051  1 Te 1.88

Record 3
Below is DyTlTe2O8 after structural relaxation, with properties calculated at the PBE level.

V = 244.8 Å³/cell
Total magnetic moment = 0.006 μB/atom
Electronic total energy = -5.818 eV/atom
Space group = P-3, No. 147
E_form (uncorrected) = -1.409 eV per atom

Cell: 5.9332 5.9332 8.0303 Å, 90.00 90.00 120.00°
With the nearest neighbours (Å) after each atom.
Element x y z (fractional)
Dy  0.0000  0.0000  0.5000  6 O 2.25
Tl  0.0000  0.0000  0.0000  12 O 3.16-3.43
Te  0.6667  0.3333  0.2447  4 O 1.82-1.85
Te  0.3333  0.6667  0.7553  4 O 1.82-1.85
O  0.3333  0.6667  0.9818  1 Te 1.82
O  0.3368  0.2233  0.3261  1 Te 1.85
O  0.7767  0.1135  0.3261  1 Te 1.85
O  0.6667  0.3333  0.0182  1 Te 1.82
O  0.2233  0.8865  0.6739  1 Te 1.85
O  0.6632  0.7767  0.6739  1 Te 1.85
O  0.1135  0.3368  0.6739  1 Te 1.85
O  0.8865  0.6632  0.3261  1 Te 1.85

Record 4
Below is DyTlTeO4 after structural relaxation, with properties calculated at the PBE level.

V = 265.7 Å³/cell
Total magnetic moment = 0.000 μB/atom
Electronic total energy = -6.091 eV/atom
Space group = P2_1/m, No. 11
E_form (uncorrected) = -1.814 eV per atom

Cell: 5.8827 6.0311 8.4591 Å, 90.00 117.72 90.00°
With the nearest neighbours (Å) after each atom.
Element x y z (fractional)
Dy  0.7895  0.7500  0.4595  6 O 2.25-2.40
Dy  0.2105  0.2500  0.5405  6 O 2.25-2.40
Tl  0.4458  0.7500  0.8727  3 O 2.65-2.78
Tl  0.5542  0.2500  0.1273  3 O 2.65-2.78
Te  0.1474  0.7500  0.2489  4 O 1.92-2.05
Te  0.8526  0.2500  0.7511  4 O 1.92-2.05
O  0.0173  0.4902  0.6698  1 Te 2.03
O  0.9827  0.9902  0.3302  1 Te 2.03
O  0.9827  0.5098  0.3302  1 Te 2.03
O  0.0173  0.0098  0.6698  1 Te 2.03
O  0.4457  0.7500  0.1863  1 Te 2.05, 1 Dy 2.25
O  0.5543  0.2500  0.8137  1 Te 2.05, 1 Dy 2.25
O  0.4230  0.7500  0.4892  1 Te 1.92
O  0.5770  0.2500  0.5108  1 Te 1.92

Record 5
Below is DyTl2Te3O12 after structural relaxation, with properties calculated at the PBE level.

V = 298.2 Å³/cell
Total magnetic moment = 0.049 μB/atom
Electronic total energy = -5.578 eV/atom
Space group = R-3m, No. 166
E_form (uncorrected) = -1.231 eV per atom

Cell: 7.5930 7.5930 7.5930 Å, 58.40 58.40 58.40°
With the nearest neighbours (Å) after each atom.
Element x y z (fractional)
Dy  0.0000  0.0000  0.0000  6 O 2.25
Tl  0.6470  0.6470  0.6470  3 O 2.92
Tl  0.3530  0.3530  0.3530  3 O 2.92
Te  0.5000  0.0000  0.0000  6 O 1.89-1.97
Te  0.0000  0.5000  0.0000  6 O 1.89-1.97
Te  0.0000  0.0000  0.5000  6 O 1.89-1.97
O  0.3141  0.3141  0.9204  2 Te 1.97
O  0.9224  0.9224  0.3569  1 Te 1.89
O  0.3569  0.9224  0.9224  1 Te 1.89
O  0.9204  0.3141  0.3141  2 Te 1.97
O  0.9224  0.3569  0.9224  1 Te 1.89
O  0.3141  0.9204  0.3141  2 Te 1.97
O  0.6859  0.6859  0.0796  2 Te 1.97
O  0.0776  0.0776  0.6431  1 Te 1.89
O  0.6431  0.0776  0.0776  1 Te 1.89
O  0.0796  0.6859  0.6859  2 Te 1.97
O  0.0776  0.6431  0.0776  1 Te 1.89
O  0.6859  0.0796  0.6859  2 Te 1.97

Record 6
Below is Dy2TlTeO8 after structural relaxation, with properties calculated at the PBE level.

V = 174.6 Å³/cell
Total magnetic moment = 0.086 μB/atom
Electronic total energy = -6.445 eV/atom
Space group = Cmmm, No. 65
E_form (uncorrected) = -1.914 eV per atom

Cell: 4.9654 4.9682 7.0834 Å, 90.00 90.00 92.38°
With the nearest neighbours (Å) after each atom.
Element x y z (fractional)
Dy  0.4999  0.4999  0.7508  6 O 2.24-2.32
Dy  0.5001  0.5001  0.2492  6 O 2.24-2.32
Tl  0.0000  0.0000  0.5000  2 O 2.08
Te  0.0000  0.0000  0.0000  6 O 1.94-1.95
O  0.1857  0.8130  0.2007  1 Te 1.95
O  0.7172  0.7186  0.9999  1 Te 1.94
O  0.8141  0.1868  0.2007  1 Te 1.95
O  0.8143  0.1870  0.7993  1 Te 1.95
O  0.2828  0.2814  0.0001  1 Te 1.94
O  0.1859  0.8132  0.7993  1 Te 1.95
O  0.6973  0.6982  0.5001  1 Tl 2.08, 2 Dy 2.24
O  0.3027  0.3018  0.4999  1 Tl 2.08, 2 Dy 2.24

Record 7
Below is DyTl2TeO6 after structural relaxation, with properties calculated at the PBE level.

V = 296.4 Å³/cell
Total magnetic moment = 0.000 μB/atom
Electronic total energy = -5.727 eV/atom
Space group = Fm-3m, No. 225
E_form (uncorrected) = -1.505 eV per atom

Cell: 5.9383 5.9398 8.4033 Å, 90.00 90.00 90.00°
With the nearest neighbours (Å) after each atom.
Element x y z (fractional)
Dy  0.0000  0.7500  0.5000  6 O 2.25
Dy  0.5000  0.2500  0.0000  6 O 2.25
Tl  0.5000  0.7501  0.2498  12 O 2.97-2.98
Tl  0.0000  0.2499  0.7498  12 O 2.97-2.98
Tl  0.5000  0.7501  0.7502  12 O 2.97-2.98
Tl  0.0000  0.2499  0.2502  12 O 2.97-2.98
Te  0.5000  0.2501  0.5000  6 O 1.95
Te  0.0000  0.7499  0.0000  6 O 1.95
O  0.5000  0.2500  0.2676  1 Te 1.95
O  0.5000  0.2500  0.7324  1 Te 1.95
O  0.0000  0.7500  0.2324  1 Te 1.95
O  0.0000  0.7500  0.7676  1 Te 1.95
O  0.2676  0.0178  0.5000  1 Te 1.95
O  0.7324  0.0178  0.5000  1 Te 1.95
O  0.2677  0.4823  0.5000  1 Te 1.95
O  0.7323  0.4823  0.5000  1 Te 1.95
O  0.7677  0.5177  0.0000  1 Te 1.95
O  0.2323  0.5177  0.0000  1 Te 1.95
O  0.2324  0.9822  0.0000  1 Te 1.95
O  0.7676  0.9822  0.0000  1 Te 1.95

Record 8
Below is DyTmTe2O after structural relaxation, with properties calculated at the PBE level.

V = 263.5 Å³/cell
Total magnetic moment = 0.000 μB/atom
Electronic total energy = -6.118 eV/atom
Space group = P4/nmm, No. 129
E_form (uncorrected) = -2.055 eV per atom

Cell: 4.1037 4.1037 15.6464 Å, 90.00 90.00 90.00°
With the nearest neighbours (Å) after each atom.
Element x y z (fractional)
Dy  0.5000  0.0000  0.5657  4 O 2.29
Dy  0.0000  0.5000  0.4343  4 O 2.29
Tm  0.5000  0.0000  0.1332  5 Te 2.83-3.01
Tm  0.0000  0.5000  0.8668  5 Te 2.83-3.01
Te  0.0000  0.5000  0.6860  1 Tm 2.83
Te  0.0000  0.5000  0.0832  4 Tm 3.01
Te  0.5000  0.0000  0.9168  4 Tm 3.01
Te  0.5000  0.0000  0.3140  1 Tm 2.83
O  0.0000  0.0000  0.5000  4 Dy 2.29
O  0.5000  0.5000  0.5000  4 Dy 2.29